Entry 1:
{
  "formula": "Tl3O4F",
  "functional": "PBE",
  "state": "relaxed",
  "raw_formation_energy_ev_per_atom": -0.816,
  "total_energy_ev_per_atom": -4.4162,
  "space_group": "Cc",
  "lattice": [[5.883, 0.000, 0.000], [-2.941, 5.575, -2.002], [0.000, 0.021, 7.778]],
  "species": ["Tl", "Tl", "Tl", "Tl", "Tl", "Tl", "O", "O", "O", "O", "O", "O", "O", "O", "F", "F"],
  "fractional_positions": [[0.667, 0.347, 0.868], [0.680, 0.347, 0.368], [0.282, 0.572, 0.580], [0.290, 0.572, 0.080], [0.954, 0.866, 0.814], [0.912, 0.866, 0.314], [0.279, 0.216, 0.940], [0.937, 0.216, 0.440], [0.570, 0.454, 0.642], [0.885, 0.454, 0.142], [0.097, 0.590, 0.837], [0.493, 0.590, 0.337], [0.047, 0.762, 0.531], [0.715, 0.762, 0.031], [0.640, 0.973, 0.738], [0.332, 0.973, 0.238]]
}


Entry 2:
{
  "formula": "RbCa2ScFe",
  "functional": "PBE",
  "state": "relaxed",
  "total_energy_ev_per_atom": -3.5425,
  "space_group": "P4/mmm",
  "e_form_ev_per_atom": 0.41,
  "lattice": [[-4.638, -3.471, -1.142], [2.789, -2.844, -2.683], [1.262, -3.254, 4.762]],
  "species": ["Sc", "Ca", "Ca", "Fe", "Rb"],
  "fractional_positions": [[0.000, 0.500, 0.000], [0.000, 0.000, 0.500], [0.500, 0.000, 0.000], [0.000, 0.000, 0.000], [0.500, 0.500, 0.500]]
}


Entry 3:
{
  "formula": "TiReSe2",
  "functional": "PBE",
  "state": "relaxed",
  "de_polymorph_mev_per_atom": 0.0,
  "raw_formation_energy_ev_per_atom": -0.068,
  "total_energy_ev_per_atom": -6.8963,
  "space_group": "R-3m",
  "lattice": [[-0.037, 2.671, 8.181], [-1.010, -0.256, 8.543], [2.029, 0.358, 8.356]],
  "species": ["Re", "Se", "Se", "Ti"],
  "fractional_positions": [[0.000, 0.000, 0.000], [0.904, 0.904, 0.904], [0.096, 0.096, 0.096], [0.500, 0.500, 0.500]]
}


Entry 4:
{
  "formula": "TePO2",
  "functional": "PBE",
  "state": "relaxed",
  "de_polymorph_mev_per_atom": 0.0,
  "raw_formation_energy_ev_per_atom": -0.483,
  "total_energy_ev_per_atom": -5.0998,
  "space_group": "Fd-3m",
  "lattice": [[5.673, 0.000, 0.000], [0.000, 5.673, 0.000], [2.836, 2.836, 4.010]],
  "species": ["P", "P", "Te", "Te", "O", "O", "O", "O"],
  "fractional_positions": [[0.500, 0.500, 0.000], [0.250, 0.750, 0.500], [0.000, 0.000, 0.000], [0.750, 0.250, 0.500], [0.375, 0.125, 0.250], [0.375, 0.625, 0.250], [0.375, 0.625, 0.750], [0.875, 0.625, 0.750]]
}


Entry 5:
{
  "formula": "CuRe2Ir",
  "functional": "PBE",
  "state": "relaxed",
  "de_polymorph_mev_per_atom": 42.8,
  "total_energy_ev_per_atom": -9.3275,
  "space_group": "R-3m",
  "e_form_ev_per_atom": 0.14,
  "lattice": [[8.998, -0.021, -0.013], [8.588, 2.685, -0.013], [8.588, 1.301, 2.349]],
  "species": ["Cu", "Ir", "Re", "Re"],
  "fractional_positions": [[0.250, 0.250, 0.250], [0.750, 0.750, 0.750], [0.000, 0.000, 0.000], [0.500, 0.500, 0.500]]
}


Entry 6:
{
  "formula": "Sm2CuP",
  "functional": "PBE",
  "state": "relaxed",
  "total_energy_ev_per_atom": -5.4781,
  "space_group": "R3m",
  "e_form_ev_per_atom": -0.74,
  "lattice": [[4.016, 0.000, 0.000], [2.008, 3.478, 0.000], [2.008, 1.159, 7.120]],
  "species": ["Sm", "Sm", "Cu", "P"],
  "fractional_positions": [[0.077, 0.077, 0.770], [0.257, 0.257, 0.229], [0.500, 0.500, 0.499], [0.666, 0.666, 0.002]]
}


Entry 7:
{
  "formula": "CdFeCu2",
  "functional": "PBE",
  "state": "relaxed",
  "total_energy_ev_per_atom": -4.1004,
  "space_group": "P2/m",
  "e_form_ev_per_atom": 0.29,
  "lattice": [[-2.441, -0.491, -1.018], [-0.534, -3.661, 3.045], [-2.162, 0.255, 5.059]],
  "species": ["Cd", "Cu", "Cu", "Fe"],
  "fractional_positions": [[0.000, 0.000, 0.500], [0.000, 0.000, 0.000], [0.500, 0.500, 0.000], [0.500, 0.500, 0.500]]
}


Entry 8:
{
  "formula": "LaBe2IrW",
  "functional": "PBE",
  "state": "relaxed",
  "total_energy_ev_per_atom": -4.3956,
  "space_group": "P4/mmm",
  "e_form_ev_per_atom": 2.44,
  "lattice": [[-0.308, -3.792, 2.392], [4.767, 0.152, 0.855], [-0.744, 2.408, 3.721]],
  "species": ["Be", "Be", "Ir", "W", "La"],
  "fractional_positions": [[0.000, 0.000, 0.500], [0.500, 0.000, 0.000], [0.000, 0.500, 0.000], [0.500, 0.500, 0.500], [0.000, 0.000, 0.000]]
}


Entry 9:
{
  "formula": "LaTh3",
  "functional": "PBE",
  "state": "relaxed",
  "de_polymorph_mev_per_atom": 22.2,
  "total_energy_ev_per_atom": -6.7278,
  "space_group": "Imm2",
  "e_form_ev_per_atom": 0.07,
  "lattice": [[-3.524, 0.055, -0.601], [-1.051, -1.079, 6.064], [2.203, 6.399, -1.699]],
  "species": ["Th", "Th", "Th", "La"],
  "fractional_positions": [[0.248, 0.577, 0.495], [0.500, 0.504, 0.000], [0.752, 0.082, 0.505], [0.000, 0.004, 0.000]]
}


Entry 10:
{
  "formula": "KIr2Os",
  "functional": "PBE",
  "state": "relaxed",
  "de_polymorph_mev_per_atom": 898.8,
  "total_energy_ev_per_atom": -6.1323,
  "space_group": "I4/mmm",
  "e_form_ev_per_atom": 1.38,
  "lattice": [[-0.210, 1.284, -4.575], [-2.649, -3.498, -1.836], [-1.065, 2.701, 3.767]],
  "species": ["Ir", "Ir", "K", "Os"],
  "fractional_positions": [[0.000, 0.000, 0.000], [0.500, 0.500, 0.000], [0.250, 0.750, 0.500], [0.750, 0.250, 0.500]]
}


Entry 11:
{
  "formula": "SmZn10Rh2",
  "functional": "PBE",
  "state": "relaxed",
  "total_energy_ev_per_atom": -2.7408,
  "space_group": "Fmmm",
  "e_form_ev_per_atom": -0.27,
  "lattice": [[5.468, 0.000, 0.000], [2.734, 6.209, 0.000], [2.734, 0.000, 6.191]],
  "species": ["Sm", "Zn", "Zn", "Zn", "Zn", "Zn", "Zn", "Zn", "Zn", "Zn", "Zn", "Rh", "Rh"],
  "fractional_positions": [[0.000, 0.000, 0.000], [0.349, 0.641, 0.660], [0.651, 0.359, 0.340], [0.990, 0.359, 0.660], [0.010, 0.641, 0.340], [0.000, 0.000, 0.500], [0.500, 0.000, 0.500], [0.281, 0.220, 0.218], [0.719, 0.780, 0.782], [0.501, 0.780, 0.218], [0.499, 0.220, 0.782], [0.000, 0.500, 0.000], [0.500, 0.500, 0.000]]
}


Entry 12:
{
  "formula": "Er3TiO",
  "functional": "PBE",
  "state": "relaxed",
  "raw_formation_energy_ev_per_atom": -1.048,
  "total_energy_ev_per_atom": -6.3566,
  "space_group": "Pm-3m",
  "lattice": [[4.734, 0.000, 0.000], [0.000, 4.734, 0.000], [0.000, 0.000, 4.734]],
  "species": ["Ti", "O", "Er", "Er", "Er"],
  "fractional_positions": [[0.500, 0.500, 0.500], [0.000, 0.000, 0.000], [0.000, 0.500, 0.000], [0.000, 0.000, 0.500], [0.500, 0.000, 0.000]]
}


What did the third record say?
{
  "formula": "TiReSe2",
  "functional": "PBE",
  "state": "relaxed",
  "de_polymorph_mev_per_atom": 0.0,
  "raw_formation_energy_ev_per_atom": -0.068,
  "total_energy_ev_per_atom": -6.8963,
  "space_group": "R-3m",
  "lattice": [[-0.037, 2.671, 8.181], [-1.010, -0.256, 8.543], [2.029, 0.358, 8.356]],
  "species": ["Re", "Se", "Se", "Ti"],
  "fractional_positions": [[0.000, 0.000, 0.000], [0.904, 0.904, 0.904], [0.096, 0.096, 0.096], [0.500, 0.500, 0.500]]
}